Entry 1:
Material: Sr3Cd2InHg6
Method: DFT, PBE
State: optimized geometry

The structure in extended XYZ format:
```
12
Lattice="6.495 0.000 0.000 -3.247 5.625 0.000 0.000 0.000 9.742" Properties=species:S:1:pos:R:3 pbc="T T T"
Sr 0.000 0.000 0.000
Sr 0.000 3.750 5.939
Sr 3.247 1.875 3.803
Cd 0.000 3.750 9.517
Cd 3.247 1.875 0.226
In 0.000 0.000 4.871
Hg 0.000 2.004 2.580
Hg -1.512 4.623 2.580
Hg 1.736 1.002 7.163
Hg 1.512 4.623 2.580
Hg 4.759 1.002 7.163
Hg 3.247 3.621 7.163
```

Values from the calculation:
Density = 8.426 Mg/m³
Energy relative to the elements = -0.265 eV per atom
Crystal system = trigonal

Entry 2:
Material: La2CePt2
Method: DFT, PBE
State: optimized geometry

The structure in extended XYZ format:
```
5
Lattice="-1.996 3.464 4.942 1.996 -3.464 4.942 1.996 3.464 -4.942" Properties=species:S:1:pos:R:3 pbc="T T T"
La 0.000 0.000 1.895
La 0.000 0.000 7.990
Ce 0.000 3.464 0.000
Pt 1.996 1.480 0.000
Pt 0.000 1.984 4.942
```

Values from the calculation:
Density = 9.816 Mg/m³
Energy relative to the elements = -0.915 eV per atom
Crystal system = orthorhombic

Entry 3:
Material: Dy3BeSi3
Method: DFT, PBE
State: optimized geometry

The structure in extended XYZ format:
```
7
Lattice="-1.923 2.089 8.669 1.923 -2.089 8.669 1.923 2.089 -8.669" Properties=species:S:1:pos:R:3 pbc="T T T"
Dy 0.000 0.000 0.000
Dy 1.923 0.000 3.165
Dy 0.000 0.000 6.380
Be 0.000 2.089 2.004
Si 0.000 0.000 9.501
Si 0.000 2.089 4.198
Si 0.000 0.000 14.343
```

Values from the calculation:
Density = 6.923 Mg/m³
Crystal system = orthorhombic
ΔE_f (raw) = -5.02 eV per formula unit

Entry 4:
Material: NbNiIrRu2
Method: DFT, PBE
State: optimized geometry

The structure in extended XYZ format:
```
5
Lattice="4.350 0.000 0.000 0.000 4.350 0.000 0.000 0.000 4.450" Properties=species:S:1:pos:R:3 pbc="T T T"
Nb 0.000 0.000 0.000
Ni 0.000 0.000 2.225
Ir 2.175 2.175 0.000
Ru 0.000 2.175 2.225
Ru 2.175 0.000 2.225
```

Values from the calculation:
Density = 10.763 Mg/m³
Energy relative to the elements = 1.196 eV per atom
Crystal system = tetragonal

Entry 5:
Material: Pr5GeSb2
Method: DFT, PBE
State: optimized geometry

The structure in extended XYZ format:
```
16
Lattice="3.117 -6.886 0.000 3.117 6.886 0.000 0.000 0.000 14.169" Properties=species:S:1:pos:R:3 pbc="T T T"
Pr 3.117 6.157 8.832
Pr 3.117 6.157 12.421
Pr 3.117 2.808 3.542
Pr 3.117 2.069 8.185
Pr 3.117 2.069 13.068
Pr 3.117 -2.069 1.101
Pr 3.117 -2.069 5.984
Pr 3.117 -2.808 10.627
Pr 3.117 -6.157 1.747
Pr 3.117 -6.157 5.337
Ge 3.117 3.811 10.627
Ge 3.117 -3.811 3.542
Sb 3.117 4.549 0.942
Sb 3.117 4.549 6.142
Sb 3.117 -4.549 8.027
Sb 3.117 -4.549 13.227
```

Values from the calculation:
Density = 5.574 Mg/m³
Crystal system = orthorhombic
ΔE_f (raw) = -4.31 eV per formula unit

Entry 6:
Material: Li2SmYHg4
Method: DFT, PBE
State: optimized geometry

The structure in extended XYZ format:
```
8
Lattice="2.530 1.460 8.290 -2.530 1.460 8.290 0.000 -2.921 8.290" Properties=species:S:1:pos:R:3 pbc="T T T"
Li 0.000 0.000 6.192
Li 0.000 0.000 18.678
Sm 0.000 0.000 0.000
Y 0.000 0.000 12.435
Hg 0.000 0.000 3.131
Hg 0.000 0.000 9.366
Hg 0.000 0.000 15.504
Hg 0.000 0.000 21.738
```

Values from the calculation:
Density = 9.539 Mg/m³
Energy relative to the elements = -0.449 eV per atom
Crystal system = trigonal

Entry 7:
Material: KNaPdO2
Method: DFT, PBE
State: optimized geometry

The structure in extended XYZ format:
```
10
Lattice="3.303 -6.343 0.000 3.303 6.343 0.000 0.000 0.000 4.188" Properties=species:S:1:pos:R:3 pbc="T T T"
K 3.303 3.171 4.176
K 3.303 -3.171 0.012
Na 0.000 0.000 0.000
Na 3.303 0.000 0.000
Pd 1.651 0.000 2.094
Pd 4.954 0.000 2.094
O 3.303 5.038 2.093
O 3.303 1.305 2.093
O 3.303 -1.305 2.096
O 3.303 -5.038 2.096
```

Values from the calculation:
Density = 3.795 Mg/m³
Crystal system = orthorhombic
ΔE_f (raw) = -4.39 eV per formula unit

Entry 8:
Material: Tb4EuHo
Method: DFT, PBE
State: optimized geometry

The structure in extended XYZ format:
```
6
Lattice="0.000 4.719 4.719 4.719 0.000 4.719 4.719 4.719 0.000" Properties=species:S:1:pos:R:3 pbc="T T T"
Tb 3.556 3.556 3.556
Tb 5.881 5.881 3.556
Tb 5.881 3.556 5.881
Tb 3.556 5.881 5.881
Eu 0.000 0.000 0.000
Ho 7.078 7.078 7.078
```

Values from the calculation:
Density = 7.528 Mg/m³
Energy relative to the elements = 0.244 eV per atom
Crystal system = cubic

Entry 9:
Material: ErSiAu
Method: DFT, PBE
State: optimized geometry

The structure in extended XYZ format:
```
12
Lattice="8.805 0.000 0.000 0.000 4.334 0.000 0.000 0.000 7.340" Properties=species:S:1:pos:R:3 pbc="T T T"
Er 1.860 1.066 0.000
Er 1.860 3.268 3.670
Er 6.944 1.066 0.000
Er 6.944 3.268 3.670
Si 0.000 1.092 4.894
Si 0.000 3.241 1.224
Si 4.402 0.864 1.352
Si 4.402 3.470 5.022
Au 0.000 1.082 2.445
Au 0.000 3.252 6.115
Au 4.402 1.314 6.068
Au 4.402 3.020 2.398
```

Values from the calculation:
Density = 9.304 Mg/m³
Crystal system = orthorhombic
ΔE_f (raw) = -1.47 eV per formula unit

Entry 10:
Material: KScSi2
Method: DFT, PBE
State: optimized geometry

The structure in extended XYZ format:
```
4
Lattice="4.304 0.000 0.000 0.000 3.693 0.000 -2.139 0.000 6.871" Properties=species:S:1:pos:R:3 pbc="T T T"
K 0.000 0.000 0.000
Sc 0.000 1.847 3.473
Si 2.152 1.847 1.852
Si 2.151 0.000 3.408
```

Values from the calculation:
Density = 2.132 Mg/m³
Crystal system = monoclinic
ΔE_f (raw) = -0.79 eV per formula unit
Energy above the lowest structure with this stoichiometry = 50.5 meV per atom

Entry 11:
Material: CsNa2AsCl6
Method: DFT, PBE
State: optimized geometry

The structure in extended XYZ format:
```
10
Lattice="3.613 2.086 6.599 -3.613 2.086 6.599 0.000 -4.172 6.599" Properties=species:S:1:pos:R:3 pbc="T T T"
Cs 0.000 0.000 0.000
Na 0.000 0.000 5.226
Na 0.000 0.000 15.769
As 0.000 0.000 9.091
Cl -1.840 -0.589 7.546
Cl -1.053 -1.944 10.517
Cl 1.430 -1.299 7.546
Cl -1.157 1.884 10.517
Cl 0.410 1.888 7.546
Cl 2.210 0.060 10.517
```

Values from the calculation:
Density = 2.596 Mg/m³
Crystal system = trigonal
ΔE_f (raw) = -13.68 eV per formula unit

Entry 12:
Material: Al2Tc2Pd
Method: DFT, PBE
State: optimized geometry

The structure in extended XYZ format:
```
10
Lattice="7.399 0.000 0.000 0.000 7.399 0.000 0.000 0.000 2.849" Properties=species:S:1:pos:R:3 pbc="T T T"
Al 1.362 2.338 0.000
Al 2.338 6.037 0.000
Al 5.061 1.362 0.000
Al 6.037 5.061 0.000
Tc 0.827 4.527 1.425
Tc 2.872 0.827 1.425
Tc 4.527 6.571 1.425
Tc 6.571 2.872 1.425
Pd 0.000 0.000 1.425
Pd 3.699 3.699 1.425
```

Values from the calculation:
Density = 7.589 Mg/m³
Energy relative to the elements = -0.108 eV per atom
Crystal system = tetragonal
Energy above the lowest structure with this stoichiometry = 78.7 meV per atom

Entry 13:
Material: Li2CrW
Method: DFT, PBE
State: optimized geometry

The structure in extended XYZ format:
```
4
Lattice="1.518 -2.196 0.000 1.518 2.196 0.000 0.000 0.000 9.176" Properties=species:S:1:pos:R:3 pbc="T T T"
Li 0.000 0.000 0.000
Li 1.518 0.000 2.556
Cr 0.000 0.000 4.793
W 1.518 0.000 6.780
```

Values from the calculation:
Density = 6.779 Mg/m³
Energy relative to the elements = 0.328 eV per atom
Crystal system = orthorhombic
Energy above the lowest structure with this stoichiometry = 0.0 meV per atom

Entry 14:
Material: CoSbS3
Method: DFT, PBE
State: optimized geometry

The structure in extended XYZ format:
```
5
Lattice="4.473 0.000 0.000 0.000 4.473 0.000 0.000 0.000 4.473" Properties=species:S:1:pos:R:3 pbc="T T T"
Co 0.000 0.000 0.000
Sb 2.237 2.237 2.237
S 0.000 0.000 2.237
S 0.000 2.237 0.000
S 2.237 0.000 0.000
```

Values from the calculation:
Density = 5.136 Mg/m³
Crystal system = cubic
ΔE_f (raw) = 1.14 eV per formula unit

Entry 15:
Material: Ta2MoAs
Method: DFT, PBE
State: optimized geometry

The structure in extended XYZ format:
```
8
Lattice="-1.967 1.967 9.452 1.967 -1.967 9.452 1.967 1.967 -9.452" Properties=species:S:1:pos:R:3 pbc="T T T"
Ta 2.951 0.947 -2.363
Ta 0.947 0.984 2.363
Ta -0.984 1.020 7.089
Ta 1.020 0.984 11.815
Mo 1.967 0.000 4.726
Mo 0.000 0.000 9.452
As 0.000 0.000 0.000
As 0.000 1.967 4.726
```

Values from the calculation:
Density = 12.090 Mg/m³
Energy relative to the elements = 0.506 eV per atom
Crystal system = tetragonal

Entry 16:
Material: Ba2SrRhCl
Method: DFT, PBE
State: optimized geometry

The structure in extended XYZ format:
```
5
Lattice="6.169 0.000 0.000 0.000 6.169 0.000 0.000 0.000 4.792" Properties=species:S:1:pos:R:3 pbc="T T T"
Ba 0.000 3.084 0.000
Ba 3.084 0.000 0.000
Sr 0.000 0.000 2.396
Rh 3.084 3.084 2.396
Cl 3.084 3.084 0.000
```

Values from the calculation:
Density = 4.559 Mg/m³
Crystal system = tetragonal
ΔE_f (raw) = -1.48 eV per formula unit

Entry 17:
Material: MgZn3
Method: DFT, PBE
State: optimized geometry

The structure in extended XYZ format:
```
8
Lattice="2.791 -4.928 0.000 2.791 4.928 0.000 0.000 0.000 4.810" Properties=species:S:1:pos:R:3 pbc="T T T"
Mg 2.791 4.012 3.608
Mg 2.791 -4.012 1.203
Zn 1.415 1.573 3.608
Zn 2.791 0.922 1.203
Zn 1.415 -1.573 1.203
Zn 4.168 1.573 3.608
Zn 2.791 -0.922 3.608
Zn 4.168 -1.573 1.203
```

Values from the calculation:
Density = 5.534 Mg/m³
Energy relative to the elements = -0.019 eV per atom
Crystal system = orthorhombic

Entry 18:
Material: ErHgF3
Method: DFT, PBE
State: optimized geometry

The structure in extended XYZ format:
```
5
Lattice="4.450 0.000 0.000 0.000 4.450 0.000 0.000 0.000 4.450" Properties=species:S:1:pos:R:3 pbc="T T T"
Er 0.000 0.000 0.000
Hg 2.225 2.225 2.225
F 0.000 0.000 2.225
F 0.000 2.225 0.000
F 2.225 0.000 0.000
```

Values from the calculation:
Density = 8.004 Mg/m³
Crystal system = cubic
ΔE_f (raw) = -15.76 eV per formula unit
Energy above the lowest structure with this stoichiometry = 34.2 meV per atom

Entry 19:
Material: Ac2SiS
Method: DFT, PBE
State: optimized geometry

The structure in extended XYZ format:
```
4
Lattice="0.000 3.815 3.815 3.815 0.000 3.815 3.815 3.815 0.000" Properties=species:S:1:pos:R:3 pbc="T T T"
Ac 1.907 1.907 1.907
Ac 5.722 5.722 5.722
Si 0.000 0.000 0.000
S 3.815 3.815 3.815
```

Values from the calculation:
Density = 7.688 Mg/m³
Crystal system = cubic
ΔE_f (raw) = -3.96 eV per formula unit
Energy above the lowest structure with this stoichiometry = 325.1 meV per atom

Entry 20:
Material: PPd6O12
Method: DFT, PBE
State: optimized geometry

The structure in extended XYZ format:
```
19
Lattice="4.450 2.569 2.978 -4.450 2.569 2.978 0.000 -5.139 2.978" Properties=species:S:1:pos:R:3 pbc="T T T"
P 0.000 0.000 0.000
Pd -0.700 -1.888 2.959
Pd -1.285 1.550 2.959
Pd -1.985 -0.338 5.975
Pd 1.985 0.338 2.959
Pd 1.285 -1.550 5.975
Pd 0.700 1.888 5.975
O -0.075 -1.442 0.940
O -1.212 0.786 0.940
O -1.878 -0.246 3.635
O 1.287 0.656 0.940
O -0.726 -1.749 5.299
O 1.152 -1.503 3.635
O -1.152 1.503 5.299
O 0.726 1.749 3.635
O -1.287 -0.656 7.994
O 1.878 0.246 5.299
O 1.212 -0.786 7.994
O 0.075 1.442 7.994
```

Values from the calculation:
Density = 7.002 Mg/m³
Crystal system = trigonal
ΔE_f (raw) = -9.90 eV per formula unit

Entry 21:
Material: Nd2YSi3Pt12
Method: DFT, PBE
State: optimized geometry

The structure in extended XYZ format:
```
18
Lattice="4.172 2.409 6.040 -4.172 2.409 6.040 0.000 -4.818 6.040" Properties=species:S:1:pos:R:3 pbc="T T T"
Nd 0.000 0.000 1.787
Nd 0.000 0.000 16.334
Y 0.000 0.000 9.060
Si -2.086 -1.204 6.040
Si -2.086 1.204 12.080
Si 0.000 2.409 6.040
Pt -2.283 -1.318 8.393
Pt 0.000 -2.163 5.448
Pt -1.873 1.082 5.448
Pt 0.000 -2.637 9.728
Pt -2.283 1.318 9.728
Pt -1.873 -1.082 12.672
Pt 1.873 1.082 5.448
Pt 2.283 -1.318 8.393
Pt 0.000 2.637 8.393
Pt 1.873 -1.082 12.672
Pt 0.000 2.163 12.672
Pt 2.283 1.318 9.728
```

Values from the calculation:
Density = 12.776 Mg/m³
Crystal system = trigonal
ΔE_f (raw) = -9.83 eV per formula unit